PBE-GGA Tb7Ho3Mg2, optimized geometry; energy of formation from the pure elements = 97.4 meV per atom; crystal system = monoclinic; DOS at the Fermi energy = 16.1 states/eV/cell
1.0
5.7377 0.0000 0.0000
0.0000 3.5355 0.0000
-1.1578 0.0000 18.3763
Tb Ho Mg
7 3 2
Cartesian
0.0000 0.0000 0.0000 Tb
0.8193 1.7678 3.1613 Tb
0.8560 1.7678 9.8712 Tb
0.8797 0.0000 15.6602 Tb
3.7002 0.0000 2.7161 Tb
3.7239 1.7678 8.5051 Tb
3.7606 1.7678 15.2150 Tb
0.8513 0.0000 6.7600 Ho
2.8689 1.7678 0.0000 Ho
3.7286 0.0000 11.6162 Ho
0.8743 1.7678 12.9650 Mg
3.7056 1.7678 5.4113 Mg